[1]
This record from Alexandria via LeMat-Bulk describes crystalline CuTeOs2 at its relaxed geometry. The functional is PBE-GGA.

Cell lengths 2.930, 4.686, 4.702 Å; angles 90.00, 90.00, 90.00 degrees
Sites, in units of the cell vectors:
Cu: 0.000 0.000 0.000
Te: 0.500 0.000 0.500
Os: 0.000 0.500 0.500
Os: 0.500 0.500 0.000

Values from the calculation:
- Symmetry: Pmmm
- Uncorrected energy: -6.506 eV/atom
- Uncorrected formation energy: 0.918 eV/atom
- Magnetization: 0.00 μB per cell
- DOS at the Fermi energy: 1.2216 states/eV/atom

***

[2]
This record from Alexandria via LeMat-Bulk describes crystalline Cu2TeOs at its relaxed geometry. The functional is PBE-GGA.

Cell lengths 4.759, 4.759, 4.386 Å; angles 108.09, 108.09, 41.74 degrees
Sites, in units of the cell vectors:
Cu: 0.000 0.000 0.000
Cu: 0.740 0.740 0.146
Te: 0.240 0.240 0.654
Os: 0.500 0.500 0.491

Values from the calculation:
- Symmetry: Cm
- Uncorrected energy: -5.143 eV/atom
- Uncorrected formation energy: 0.498 eV/atom
- Magnetization: 0.00 μB per cell
- DOS at the Fermi energy: 0.4862 states/eV/atom

***

[3]
This record from Alexandria via LeMat-Bulk describes crystalline CuTe2Os at its relaxed geometry. The functional is PBE-GGA.

Cell lengths 4.253, 4.253, 6.810 Å; angles 106.95, 106.95, 51.89 degrees
Sites, in units of the cell vectors:
Cu: 0.000 0.000 0.000
Te: 0.249 0.249 0.845
Te: 0.495 0.495 0.375
Os: 0.752 0.752 0.165

Values from the calculation:
- Symmetry: Cm
- Uncorrected energy: -5.068 eV/atom
- Uncorrected formation energy: 0.334 eV/atom
- Polymorph energy (0 for the lowest one): 24 meV per atom
- Magnetization: 0.00 μB per cell
- DOS at the Fermi energy: 0.7079 states/eV/atom

***

Repeat the third record exactly.
This record from Alexandria via LeMat-Bulk describes crystalline CuTe2Os at its relaxed geometry. The functional is PBE-GGA.

Cell lengths 4.253, 4.253, 6.810 Å; angles 106.95, 106.95, 51.89 degrees
Sites, in units of the cell vectors:
Cu: 0.000 0.000 0.000
Te: 0.249 0.249 0.845
Te: 0.495 0.495 0.375
Os: 0.752 0.752 0.165

Values from the calculation:
- Symmetry: Cm
- Uncorrected energy: -5.068 eV/atom
- Uncorrected formation energy: 0.334 eV/atom
- Polymorph energy (0 for the lowest one): 24 meV per atom
- Magnetization: 0.00 μB per cell
- DOS at the Fermi energy: 0.7079 states/eV/atom

***

- Which value of uncorrected formation energy does entry 3 give?
  0.334 eV/atom

***

- The lowest uncorrected formation energy belongs to which entry?
  CuTe2Os

***

- uncorrected energy of number 1 (CuTeOs2)?
  -6.506 eV/atom